{"formula": "Sr3Tb3ErSe8", "functional": "GGA-PBE", "state": "relaxed", "cell": [[4.168, 2.406, 7.145], [-4.168, 2.406, 7.145], [0.000, -4.812, 7.145]], "species": ["Sr", "Sr", "Sr", "Tb", "Tb", "Tb", "Er", "Se", "Se", "Se", "Se", "Se", "Se", "Se", "Se"], "frac_coords": [[0.000, 0.500, 0.500], [0.500, 0.000, 0.500], [0.500, 0.500, 0.000], [0.000, 0.000, 0.500], [0.000, 0.500, 0.000], [0.500, 0.000, 0.000], [0.500, 0.500, 0.500], [0.244, 0.244, 0.244], [0.244, 0.741, 0.741], [0.259, 0.259, 0.756], [0.259, 0.756, 0.259], [0.741, 0.244, 0.741], [0.741, 0.741, 0.244], [0.756, 0.259, 0.259], [0.756, 0.756, 0.756]], "e_form_raw_mev_per_atom": -1933, "sg": "R-3m (166)", "crystal_system": "trigonal"}

{"formula": "FeCuAg2", "functional": "GGA-PBE", "state": "relaxed", "cell": [[4.572, -1.383, 0.000], [4.572, 1.383, 0.000], [-0.797, 0.000, 4.811]], "species": ["Fe", "Cu", "Ag", "Ag"], "frac_coords": [[0.000, 0.000, 0.000], [0.500, 0.500, 0.500], [0.249, 0.249, 0.750], [0.751, 0.751, 0.250]], "e_form_ev_per_atom": 0.316, "sg": "C2/m (12)", "polymorph_energy_mev_per_atom": 101, "crystal_system": "monoclinic"}

{"formula": "InSb2Os", "functional": "GGA-PBE", "state": "relaxed", "cell": [[-2.274, 2.274, 4.146], [2.274, -2.274, 4.146], [2.274, 2.274, -4.146]], "species": ["In", "Sb", "Sb", "Os"], "frac_coords": [[0.000, 0.000, 0.000], [0.500, 0.500, 0.000], [0.750, 0.250, 0.500], [0.250, 0.750, 0.500]], "e_form_raw_mev_per_atom": 717, "sg": "I-4m2 (119)", "crystal_system": "tetragonal"}

{"formula": "CsRuSeF2", "functional": "GGA-PBE", "state": "relaxed", "cell": [[4.622, 0.000, 0.000], [0.000, 4.622, 0.000], [0.000, 0.000, 4.573]], "species": ["Cs", "Ru", "Se", "F", "F"], "frac_coords": [[0.000, 0.000, 0.000], [0.500, 0.500, 0.000], [0.500, 0.500, 0.500], [0.000, 0.500, 0.500], [0.500, 0.000, 0.500]], "e_form_raw_mev_per_atom": -571, "sg": "P4/mmm (123)", "crystal_system": "tetragonal"}

{"formula": "TlSiAu2", "functional": "GGA-PBE", "state": "relaxed", "cell": [[0.000, 3.441, 3.441], [3.441, 0.000, 3.441], [3.441, 3.441, 0.000]], "species": ["Tl", "Si", "Au", "Au"], "frac_coords": [[0.000, 0.000, 0.000], [0.500, 0.500, 0.500], [0.250, 0.250, 0.250], [0.750, 0.750, 0.750]], "e_form_raw_mev_per_atom": 331, "sg": "Fm-3m (225)", "polymorph_energy_mev_per_atom": 363, "crystal_system": "cubic"}

{"formula": "Pr2YPaAs4", "functional": "GGA-PBE", "state": "relaxed", "cell": [[7.245, 0.000, 0.000], [0.000, 4.204, 0.000], [-2.427, 0.000, 6.891]], "species": ["Pr", "Pr", "Y", "Pa", "As", "As", "As", "As"], "frac_coords": [[0.000, 0.000, 0.000], [0.500, 0.500, 0.000], [0.000, 0.500, 0.500], [0.500, 0.000, 0.500], [0.250, 0.000, 0.735], [0.258, 0.500, 0.266], [0.742, 0.500, 0.734], [0.750, 0.000, 0.265]], "e_form_ev_per_atom": -1.411, "sg": "P2/m (10)", "crystal_system": "monoclinic"}

{"formula": "Zn2FeCu", "functional": "GGA-PBE", "state": "relaxed", "cell": [[4.529, 0.000, 0.000], [0.000, 2.611, 0.000], [-1.349, 0.000, 4.334]], "species": ["Zn", "Zn", "Fe", "Cu"], "frac_coords": [[0.000, 0.000, 0.000], [0.500, 0.000, 0.500], [0.000, 0.500, 0.500], [0.500, 0.500, 0.000]], "e_form_ev_per_atom": 0.012, "sg": "P2/m (10)", "crystal_system": "monoclinic"}

{"formula": "LiReI3", "functional": "GGA-PBE", "state": "relaxed", "cell": [[5.464, 0.000, 0.000], [0.000, 5.464, 0.000], [0.000, 0.000, 5.464]], "species": ["Li", "Re", "I", "I", "I"], "frac_coords": [[0.000, 0.000, 0.000], [0.500, 0.500, 0.500], [0.000, 0.000, 0.500], [0.000, 0.500, 0.000], [0.500, 0.000, 0.000]], "e_form_raw_mev_per_atom": 906, "sg": "Pm-3m (221)", "polymorph_energy_mev_per_atom": 476, "crystal_system": "cubic"}